# Li3Au5 | Alexandria via LeMat-Bulk | PBEsol | relaxed
# Total energy   -56.554 eV/cell
# ΔE to the lowest computed polymorph   0 kJ/mol of formula units
# Magnetic moment   0.00 μB per cell
# Energy relative to the elements   -344.6 meV per atom
data_Li3Au5
_cell_length_a 7.3433
_cell_length_b 7.3433
_cell_length_c 7.3433
_cell_angle_alpha 96.88
_cell_angle_beta 96.88
_cell_angle_gamma 139.49
_space_group_name_H-M_alt 'P 1'
_space_group_IT_number 1
_space_group_name_Hall 'P 1'
loop_
_atom_site_label
_atom_site_type_symbol
_atom_site_fract_x
_atom_site_fract_y
_atom_site_fract_z
Li1 Li 0.1704 0.6704 0.8408
Li2 Li 0.2500 0.2500 0.0000
Li3 Li 0.3296 0.1704 0.5000
Li4 Li 0.6704 0.8296 0.5000
Li5 Li 0.7500 0.7500 0.0000
Li6 Li 0.8296 0.3296 0.1592
Au1 Au 0.0717 0.2217 0.2934
Au2 Au 0.2217 0.9283 0.1500
Au3 Au 0.2500 0.7500 0.5000
Au4 Au 0.2783 0.4283 0.7066
Au5 Au 0.4283 0.7217 0.1500
Au6 Au 0.5717 0.2783 0.8500
Au7 Au 0.7217 0.5717 0.2934
Au8 Au 0.7500 0.2500 0.5000
Au9 Au 0.7783 0.0717 0.8500
Au10 Au 0.9283 0.7783 0.7066

# Hf2MgAs | Alexandria via LeMat-Bulk | PBEsol | relaxed
# Total energy   -56.159 eV/cell
# Magnetic moment   0.00 μB per cell
# Energy relative to the elements   -62.4 meV per atom
data_Hf2MgAs
_cell_length_a 6.0821
_cell_length_b 6.0821
_cell_length_c 6.0821
_cell_angle_alpha 102.87
_cell_angle_beta 102.87
_cell_angle_gamma 123.67
_space_group_name_H-M_alt 'P 1'
_space_group_IT_number 1
_space_group_name_Hall 'P 1'
loop_
_atom_site_label
_atom_site_type_symbol
_atom_site_fract_x
_atom_site_fract_y
_atom_site_fract_z
Hf1 Hf 0.0950 0.1250 0.4700
Hf2 Hf 0.3750 0.9050 0.0300
Hf3 Hf 0.6550 0.6250 0.5300
Hf4 Hf 0.8750 0.3450 0.9700
Mg1 Mg 0.2500 0.7500 0.5000
Mg2 Mg 0.5000 0.5000 0.0000
As1 As 0.0000 0.0000 0.0000
As2 As 0.7500 0.2500 0.5000

# BeBr2O | Alexandria via LeMat-Bulk | PBEsol | relaxed
# Total energy   -11.635 eV/cell
# Raw formation energy   1.35 eV/f.u.
# Magnetic moment   2.00 μB per cell
data_BeBr2O
_cell_length_a 6.8028
_cell_length_b 6.8028
_cell_length_c 6.8028
_cell_angle_alpha 41.78
_cell_angle_beta 41.78
_cell_angle_gamma 41.78
_space_group_name_H-M_alt 'P 1'
_space_group_IT_number 1
_space_group_name_Hall 'P 1'
loop_
_atom_site_label
_atom_site_type_symbol
_atom_site_fract_x
_atom_site_fract_y
_atom_site_fract_z
Be1 Be 0.0000 0.0000 0.0000
Br1 Br 0.1047 0.1047 0.1047
Br2 Br 0.8953 0.8953 0.8953
O1 O 0.5000 0.5000 0.5000

- What is the total energy in the third record?
  -11.635 eV/cell

- What is the magnetic moment in the third record?
  2.00 μB per cell